# 1
Here is a crystal of InPb2 relaxed with PBEsol from Alexandria. Energies are from meta-GGA SCAN.

```
InPb2
1.0
3.262 0.000 0.000
0.000 5.508 0.000
0.000 -2.754 4.770
In Pb
1 2
direct
0.000 0.000 0.000
0.500 0.667 0.333
0.500 0.333 0.667
```

Values from the calculation:
The formation enthalpy at 0 K comes out at 0.0734 eV/atom. The value obtained for the volume is 28.6 Å³/atom.

***

# 2
Here is a crystal of AgPb relaxed with PBEsol from Alexandria. Energies are from meta-GGA SCAN.

```
AgPb
1.0
-1.481 -2.856 0.672
1.344 -0.132 -5.635
6.294 -2.272 4.212
Pb Ag
3 3
direct
0.285 0.570 0.055
0.983 0.966 0.419
0.302 0.604 0.644
0.590 0.181 0.763
0.004 0.007 0.998
0.669 0.339 0.288
```

Values from the calculation:
The formation enthalpy at 0 K comes out at 0.1266 eV/atom. The value obtained for the volume is 22.6 Å³/atom.